Record 1
The following is a SCAN calculation of a PBEsol-optimized structure of BePd2C, from Alexandria via LeMat-Bulk.

For the formation energy, the calculation gives 242 kJ/mol of formula units. Its crystal system is tetragonal. For the total magnetic moment, the calculation gives 0.00 μB per formula unit. Its theoretical density is 6.97 g/cm³.

Cell lengths 5.6991, 5.6991, 5.6991 Å; angles 128.06, 128.06, 76.53 degrees
Closest atoms and distances in Å follow each position.
Atoms (fractional coordinates):
Be 0.0000 0.0000 0.0000  4 Pd 2.24
Be 0.7500 0.2500 0.5000  4 Pd 2.24
Pd 0.1712 0.6250 0.0462  2 C 1.96
Pd 0.3750 0.4212 0.5462  2 C 1.96
Pd 0.5788 0.1250 0.9538  2 C 1.96
Pd 0.8750 0.8288 0.4538  2 C 1.96
C 0.2500 0.7500 0.5000  4 Pd 1.96
C 0.5000 0.5000 0.0000  4 Pd 1.96

Record 2
The following is a SCAN calculation of a PBEsol-optimized structure of BePd3C, from Alexandria via LeMat-Bulk.

For the formation energy, the calculation gives 619 kJ/mol of formula units. Its crystal system is cubic. For the total magnetic moment, the calculation gives 0.00 μB per formula unit. Its theoretical density is 8.22 g/cm³.

Cell lengths 4.0970, 4.0970, 4.0970 Å; angles 90.00, 90.00, 90.00 degrees
Closest atoms and distances in Å follow each position.
Atoms (fractional coordinates):
Be 0.0000 0.0000 0.0000  6 Pd 2.05
Pd 0.0000 0.0000 0.5000  2 Be 2.05
Pd 0.0000 0.5000 0.0000  2 Be 2.05
Pd 0.5000 0.0000 0.0000  2 Be 2.05
C 0.5000 0.5000 0.5000  12 Pd 2.90

Record 3
The following is a SCAN calculation of a PBEsol-optimized structure of BeRe3C, from Alexandria via LeMat-Bulk.

For the formation energy, the calculation gives 257 kJ/mol of formula units. Its crystal system is cubic. For the total magnetic moment, the calculation gives 0.00 μB per formula unit. Its theoretical density is 15.06 g/cm³.

Cell lengths 3.9979, 3.9979, 3.9979 Å; angles 90.00, 90.00, 90.00 degrees
Closest atoms and distances in Å follow each position.
Atoms (fractional coordinates):
Be 0.0000 0.0000 0.0000  12 Re 2.83
Re 0.0000 0.5000 0.5000  2 C 2.00
Re 0.5000 0.0000 0.5000  2 C 2.00
Re 0.5000 0.5000 0.0000  2 C 2.00
C 0.5000 0.5000 0.5000  6 Re 2.00

Record 4
The following is a SCAN calculation of a PBEsol-optimized structure of BeReC2, from Alexandria via LeMat-Bulk.

For the formation energy, the calculation gives 256 kJ/mol of formula units. Its crystal system is tetragonal. For the total magnetic moment, the calculation gives 0.00 μB per formula unit. Its theoretical density is 8.43 g/cm³.

Cell lengths 5.4129, 5.4129, 5.4129 Å; angles 131.79, 131.79, 70.55 degrees
Closest atoms and distances in Å follow each position.
Atoms (fractional coordinates):
Be 0.0000 0.0000 0.0000  4 C 1.89
Be 0.7500 0.2500 0.5000  4 C 1.89
Re 0.2500 0.7500 0.5000  4 C 1.94
Re 0.5000 0.5000 0.0000  4 C 1.94
C 0.1161 0.6250 0.9911  2 Be 1.89, 2 Re 1.94
C 0.3750 0.3661 0.4911  2 Be 1.89, 2 Re 1.94
C 0.6339 0.1250 0.0089  2 Be 1.89, 2 Re 1.94
C 0.8750 0.8839 0.5089  2 Be 1.89, 2 Re 1.94

Record 5
The following is a SCAN calculation of a PBEsol-optimized structure of BeRuRh2C, from Alexandria via LeMat-Bulk.

For the formation energy, the calculation gives 1153 kJ/mol of formula units. Its crystal system is tetragonal. For the total magnetic moment, the calculation gives 0.00 μB per formula unit. Its theoretical density is 6.50 g/cm³.

Cell lengths 4.5455, 4.5455, 4.0550 Å; angles 90.00, 90.00, 90.00 degrees
Closest atoms and distances in Å follow each position.
Atoms (fractional coordinates):
Be 0.0000 0.0000 0.0000  2 Ru 2.03
Ru 0.0000 0.0000 0.5000  2 Be 2.03
Rh 0.0000 0.5000 0.5000  2 Ru 2.27
Rh 0.5000 0.0000 0.5000  2 Ru 2.27
C 0.5000 0.5000 0.0000  8 Rh 3.05, 4 Be 3.21

Record 6
The following is a SCAN calculation of a PBEsol-optimized structure of Ta2BeRhC, from Alexandria via LeMat-Bulk.

For the formation energy, the calculation gives 277 kJ/mol of formula units. Its crystal system is tetragonal. For the total magnetic moment, the calculation gives 0.00 μB per formula unit. Its theoretical density is 12.61 g/cm³.

Cell lengths 4.5771, 4.5771, 3.0527 Å; angles 90.00, 90.00, 90.00 degrees
Closest atoms and distances in Å follow each position.
Atoms (fractional coordinates):
Ta 0.0000 0.5000 0.0000  2 Be 2.29
Ta 0.5000 0.0000 0.0000  2 Be 2.29
Be 0.0000 0.0000 0.0000  2 C 1.53
Rh 0.5000 0.5000 0.5000  8 Ta 2.75, 2 Rh 3.05
C 0.0000 0.0000 0.5000  2 Be 1.53